Record 1
# Na3PuBe2O6 (PBE-GGA, relaxed)
# - ΔE_f (raw): -26.616 eV/f.u.
data_Na3PuBe2O6
_symmetry_space_group_name_H-M 'P -3 m 1'
_symmetry_Int_Tables_number 164
_symmetry_space_group_name_Hall '-P 3 2"'
_cell_length_a 5.5438
_cell_length_b 5.5438
_cell_length_c 6.2314
_cell_angle_alpha 90.00
_cell_angle_beta 90.00
_cell_angle_gamma 120.00
loop_
_atom_site_label
_atom_site_type_symbol
_atom_site_fract_x
_atom_site_fract_y
_atom_site_fract_z
_atom_site_occupancy
Na1 Na 0.0000 0.0000 0.0000 1
Na2 Na 0.3333 0.6667 0.7514 1
Pu1 Pu 0.0000 0.0000 0.5000 1
Be1 Be 0.3333 0.6667 0.2843 1
O1 O 0.1736 0.3473 0.2841 1



Record 2
# CoReSe2 (PBE-GGA, relaxed)
# - Distance to the lowest polymorph of the same formula: 181 meV per atom
# - ΔE_f (raw): 0.378 eV/f.u.
data_CoReSe2
_symmetry_space_group_name_H-M 'P 4 m m'
_symmetry_Int_Tables_number 99
_cell_length_a 3.047
_cell_length_b 3.047
_cell_length_c 7.719
_cell_angle_alpha 90.00
_cell_angle_beta 90.00
_cell_angle_gamma 90.00
loop_
_symmetry_equiv_pos_as_xyz
'x,y,z'
'-y,x,z'
'-x,-y,z'
'y,-x,z'
'-x,y,z'
'y,x,z'
'x,-y,z'
'-y,-x,z'
loop_
_atom_site_label
_atom_site_type_symbol
_atom_site_fract_x
_atom_site_fract_y
_atom_site_fract_z
_atom_site_occupancy
Co1 Co 0.000 0.000 0.000 1
Re1 Re 0.500 0.500 0.218 1
Se1 Se 0.000 0.000 0.405 1
Se2 Se 0.500 0.500 0.865 1



Record 3
# NdY2Ga2 (PBE-GGA, relaxed)
# - Distance to the lowest polymorph of the same formula: 0 meV per atom
data_NdY2Ga2
_symmetry_space_group_name_H-M 'P 4/m b m'
_symmetry_Int_Tables_number 127
_symmetry_space_group_name_Hall '-P 4 2ab'
_cell_length_a 7.742
_cell_length_b 7.742
_cell_length_c 4.372
_cell_angle_alpha 90.00
_cell_angle_beta 90.00
_cell_angle_gamma 90.00
loop_
_atom_site_label
_atom_site_type_symbol
_atom_site_fract_x
_atom_site_fract_y
_atom_site_fract_z
_atom_site_occupancy
Nd1 Nd 0.000 0.000 0.000 1
Y1 Y 0.174 0.326 0.500 1
Ga1 Ga 0.118 0.618 0.000 1



Record 4
The following is a PBE-GGA calculation of a relaxed structure of NdMg8Ag4, from the Alexandria database.

The structure in CIF format:
```
data_NdMg8Ag4
_symmetry_space_group_name_H-M 'I 4/m m m'
_symmetry_Int_Tables_number 139
_symmetry_space_group_name_Hall '-I 4 2'
_cell_length_a 9.886
_cell_length_b 9.886
_cell_length_c 5.667
_cell_angle_alpha 90.00
_cell_angle_beta 90.00
_cell_angle_gamma 90.00
loop_
_atom_site_label
_atom_site_type_symbol
_atom_site_fract_x
_atom_site_fract_y
_atom_site_fract_z
_atom_site_occupancy
Nd1 Nd 0.000 0.000 0.000 1
Mg1 Mg 0.000 0.215 0.500 1
Mg2 Mg 0.000 0.344 0.000 1
Ag1 Ag 0.250 0.250 0.250 1
```



Record 5
The following is a PBE-GGA calculation of a relaxed structure of SmZrAgOs, from the Alexandria database.

The structure in CIF format:
```
data_SmZrAgOs
_symmetry_space_group_name_H-M 'F -4 3 m'
_symmetry_Int_Tables_number 216
_symmetry_space_group_name_Hall 'F -4 2 3'
_cell_length_a 6.925
_cell_length_b 6.925
_cell_length_c 6.925
_cell_angle_alpha 90.00
_cell_angle_beta 90.00
_cell_angle_gamma 90.00
loop_
_atom_site_label
_atom_site_type_symbol
_atom_site_fract_x
_atom_site_fract_y
_atom_site_fract_z
_atom_site_occupancy
Sm1 Sm 0.000 0.000 0.000 1
Zr1 Zr 0.000 0.000 0.500 1
Ag1 Ag 0.250 0.250 0.750 1
Os1 Os 0.250 0.250 0.250 1
```



Record 6
The following is a PBE-GGA calculation of a relaxed structure of LiFeP2Os, from the Alexandria database.

The structure in CIF format:
```
data_LiFeP2Os
_symmetry_space_group_name_H-M 'I -4 m 2'
_symmetry_Int_Tables_number 119
_symmetry_space_group_name_Hall 'I -4 -2'
_cell_length_a 3.919
_cell_length_b 3.919
_cell_length_c 9.152
_cell_angle_alpha 90.00
_cell_angle_beta 90.00
_cell_angle_gamma 90.00
loop_
_atom_site_label
_atom_site_type_symbol
_atom_site_fract_x
_atom_site_fract_y
_atom_site_fract_z
_atom_site_occupancy
Li1 Li 0.000 0.000 0.000 1
Fe1 Fe 0.000 0.500 0.250 1
P1 P 0.000 0.000 0.376 1
Os1 Os 0.000 0.500 0.750 1
```



Energy for the records above, in order: -82.11 -26.15 -52.46 -62.99 -111.30 -69.69 eV per cell
D(E_F) for the records above, in order: 9.29 2.50 11.57 13.81 12.53 6.26 states/eV/cell